Record 1
VASP calculation (PBE) on a relaxed structure of BaBeCr2.

abc: 7.454 3.486 6.299
angles: 90.00 102.05 90.00
Space group C2/m (No. 12)
Asymmetric unit:
Ba 0.000 0.000 0.000 x2
Be 0.000 0.500 0.500 x2
Cr 0.202 0.000 0.581 x4

## Properties
Energy of formation from the pure elements, kJ/mol of formula units: 267
Volume, Å³ per atom: 20.01

***

Record 2
VASP calculation (PBE) on a relaxed structure of BaBeCr2.

abc: 4.447 4.447 4.385
angles: 90.00 90.00 90.00
Space group P4/mmm (No. 123)
Asymmetric unit:
Ba 0.000 0.000 0.000 x1
Be 0.500 0.500 0.000 x1
Cr 0.000 0.500 0.500 x2

## Properties
Energy of formation from the pure elements, kJ/mol of formula units: 488
Volume, Å³ per atom: 21.68

***

Record 3
VASP calculation (PBE) on a relaxed structure of BaBeCr2.

abc: 3.8394 3.8394 18.7507
angles: 90.00 90.00 120.00
Space group R-3m (No. 166, hexagonal axes)
Asymmetric unit:
Ba 0.0000 0.0000 0.0000 x3
Be 0.0000 0.0000 0.5000 x3
Cr 0.0000 0.0000 0.1936 x6

## Properties
Energy of formation from the pure elements, kJ/mol of formula units: 283
Volume, Å³ per atom: 19.95

***

Record 4
VASP calculation (PBE) on a relaxed structure of BaBeCr.

abc: 7.012 7.012 7.012
angles: 90.00 90.00 90.00
Space group F-43m (No. 216)
Asymmetric unit:
Ba 0.000 0.000 0.000 x4
Be 0.000 0.000 0.500 x4
Cr 0.250 0.250 0.750 x4

## Properties
Energy relative to the lowest polymorph listed for this composition, meV/atom: 465
Energy of formation from the pure elements, kJ/mol of formula units: 344
Volume, Å³ per atom: 28.73

***

Record 5
VASP calculation (PBE) on a relaxed structure of Ba2BeCr.

abc: 4.5067 4.5067 27.1140
angles: 90.00 90.00 120.00
Space group R-3m (No. 166, hexagonal axes)
Asymmetric unit:
Ba 0.0000 0.0000 0.2429 x6
Be 0.0000 0.0000 0.5000 x3
Cr 0.0000 0.0000 0.0000 x3

## Properties
Energy of formation from the pure elements, kJ/mol of formula units: 363
Volume, Å³ per atom: 39.74

***

Record 6
VASP calculation (PBE) on a relaxed structure of BaBeCr2.

abc: 3.120 4.074 6.444
angles: 90.00 101.43 90.00
Space group P2/m (No. 10)
Asymmetric unit:
Ba 0.000 0.000 0.000 x1
Be 0.500 0.000 0.500 x1
Cr 0.285 0.500 0.616 x2

## Properties
Energy of formation from the pure elements, kJ/mol of formula units: 331
Volume, Å³ per atom: 20.07

***

Record 7
VASP calculation (PBE) on a relaxed structure of Ba2BeCr.

abc: 4.061 5.428 11.691
angles: 90.00 90.00 90.00
Space group Imm2 (No. 44)
Asymmetric unit:
Ba 0.000 0.000 0.000 x2
Ba 0.000 0.500 0.206 x2
Be 0.000 0.500 0.788 x2
Cr 0.000 0.000 0.399 x2

## Properties
Energy of formation from the pure elements, kJ/mol of formula units: 240
Volume, Å³ per atom: 32.21

***

Record 8
VASP calculation (PBE) on a relaxed structure of BaBeCr3.

abc: 5.104 5.104 5.104
angles: 90.00 90.00 90.00
Space group Pm-3m (No. 221)
Asymmetric unit:
Ba 0.000 0.000 0.000 x1
Be 0.500 0.500 0.500 x1
Cr 0.000 0.000 0.500 x3

## Properties
Energy relative to the lowest polymorph listed for this composition, meV/atom: 1764
Energy of formation from the pure elements, kJ/mol of formula units: 1326
Volume, Å³ per atom: 26.59